Entry 1:
# InHgRu2

A relaxed structure of InHgRu2 (PBE, the Alexandria database).

Cell: 5.942 5.942 5.942 Å, 101.99 101.99 125.77°
Atoms (fractional coordinates):
In  0.000  0.000  0.000
In  0.750  0.250  0.500
Hg  0.250  0.750  0.500
Hg  0.500  0.500  0.000
Ru  0.120  0.125  0.495
Ru  0.375  0.880  0.005
Ru  0.630  0.625  0.505
Ru  0.875  0.370  0.995

As for the magnetization: 0.00 μB/f.u. As for the space group: I-42d (122). As for the density of states at the Fermi level: 10.0 states/eV/cell. The distance to the lowest polymorph of the same formula is 14.06 kcal/mol of atoms. As for the total energy: -36.5 eV per cell.


Entry 2:
# Pr15TlIn4

A relaxed structure of Pr15TlIn4 (PBE, the Alexandria database).

Cell: 5.016 5.016 25.251 Å, 90.00 90.00 90.00°
Atoms (fractional coordinates):
Pr  0.000  0.000  0.000
Pr  0.000  0.000  0.200
Pr  0.000  0.000  0.400
Pr  0.000  0.000  0.600
Pr  0.000  0.000  0.800
Pr  0.000  0.500  0.101
Pr  0.000  0.500  0.300
Pr  0.000  0.500  0.500
Pr  0.000  0.500  0.700
Pr  0.000  0.500  0.899
Pr  0.500  0.000  0.101
Pr  0.500  0.000  0.300
Pr  0.500  0.000  0.500
Pr  0.500  0.000  0.700
Pr  0.500  0.000  0.899
Tl  0.500  0.500  0.000
In  0.500  0.500  0.200
In  0.500  0.500  0.400
In  0.500  0.500  0.600
In  0.500  0.500  0.800

As for the magnetization: 0.00 μB/f.u. As for the space group: P4/mmm (123). As for the density of states at the Fermi level: 32.9 states/eV/cell. As for the total energy: -90.3 eV per cell.


Entry 3:
# CaScCdIn

A relaxed structure of CaScCdIn (PBE, the Alexandria database).

Cell: 5.210 5.210 5.210 Å, 60.00 60.00 60.00°
Atoms (fractional coordinates):
Ca  0.000  0.000  0.000
Sc  0.500  0.500  0.500
Cd  0.250  0.250  0.250
In  0.750  0.750  0.750

As for the magnetization: 0.00 μB/f.u. As for the space group: F-43m (216). As for the density of states at the Fermi level: 2.0 states/eV/cell. The distance to the lowest polymorph of the same formula is 0.53 kcal/mol of atoms. As for the total energy: -13.4 eV per cell.


Entry 4:
# Ca3Ce2SmAs6

A relaxed structure of Ca3Ce2SmAs6 (PBE, the Alexandria database).

Cell: 7.383 7.383 7.254 Å, 99.77 99.77 120.03°
Atoms (fractional coordinates):
Ca  0.000  0.000  0.000
Ca  0.335  0.665  0.000
Ca  0.665  0.335  0.000
Ce  0.167  0.833  0.500
Ce  0.833  0.167  0.500
Sm  0.500  0.500  0.500
As  0.083  0.421  0.263
As  0.241  0.241  0.737
As  0.421  0.083  0.263
As  0.579  0.917  0.737
As  0.759  0.759  0.263
As  0.917  0.579  0.737

As for the magnetization: 0.00 μB/f.u. As for the space group: C2/m (12). As for the density of states at the Fermi level: 11.2 states/eV/cell. As for the total energy: -65.6 eV per cell.


Entry 5:
# BaMnCr2

A relaxed structure of BaMnCr2 (PBE, the Alexandria database).

Cell: 4.488 4.488 4.488 Å, 60.00 60.00 60.00°
Atoms (fractional coordinates):
Ba  0.000  0.000  0.000
Mn  0.500  0.500  0.500
Cr  0.250  0.250  0.250
Cr  0.750  0.750  0.750

As for the magnetization: 0.00 μB/f.u. As for the space group: Fm-3m (225). As for the density of states at the Fermi level: 7.0 states/eV/cell. The distance to the lowest polymorph of the same formula is 21.76 kcal/mol of atoms. As for the total energy: -24.1 eV per cell.


Entry 6:
# Rb3Pu3USe8

A relaxed structure of Rb3Pu3USe8 (PBE, the Alexandria database).

Cell: 9.471 9.471 9.471 Å, 53.41 53.41 53.41°
Atoms (fractional coordinates):
Rb  0.000  0.500  0.500
Rb  0.500  0.000  0.500
Rb  0.500  0.500  0.000
Pu  0.000  0.000  0.500
Pu  0.000  0.500  0.000
Pu  0.500  0.000  0.000
U  0.500  0.500  0.500
Se  0.231  0.231  0.231
Se  0.239  0.725  0.725
Se  0.275  0.275  0.761
Se  0.275  0.761  0.275
Se  0.725  0.239  0.725
Se  0.725  0.725  0.239
Se  0.761  0.275  0.275
Se  0.769  0.769  0.769

As for the magnetization: 17.00 μB/f.u. As for the space group: R-3m (166). As for the density of states at the Fermi level: 37.4 states/eV/cell. For the formation energy (no corrections), the calculation gives -1.41 eV per atom. As for the total energy: -106.3 eV per cell.


Entry 7:
# Be5Br

A relaxed structure of Be5Br (PBE, the Alexandria database).

Cell: 2.622 2.622 11.852 Å, 90.00 90.00 90.00°
Atoms (fractional coordinates):
Be  0.000  0.000  0.000
Be  0.000  0.000  0.197
Be  0.000  0.000  0.803
Be  0.500  0.500  0.103
Be  0.500  0.500  0.897
Br  0.500  0.500  0.500

As for the magnetization: 0.00 μB/f.u. As for the space group: P4/mmm (123). As for the density of states at the Fermi level: 1.6 states/eV/cell. The distance to the lowest polymorph of the same formula is 0.62 kcal/mol of atoms. For the formation energy (no corrections), the calculation gives 0.44 eV per atom. As for the total energy: -17.7 eV per cell.


Entry 8:
# TiPN2O

A relaxed structure of TiPN2O (PBE, the Alexandria database).

Cell: 3.547 3.547 3.409 Å, 90.00 90.00 90.00°
Atoms (fractional coordinates):
Ti  0.000  0.000  0.000
P  0.500  0.500  0.500
N  0.000  0.500  0.500
N  0.500  0.000  0.500
O  0.500  0.500  0.000

As for the magnetization: 0.73 μB/f.u. As for the space group: P4/mmm (123). As for the density of states at the Fermi level: 2.3 states/eV/cell. For the formation energy (no corrections), the calculation gives -0.39 eV per atom. As for the total energy: -36.9 eV per cell.


- Which value of density of states at the Fermi level does entry 4 give?
  11.2 states/eV/cell


- Which value of total energy does entry 7 give?
  -17.7 eV per cell